VASP calculation (PBEsol) on crystalline SrBe2Rh at its relaxed geometry.

Properties
- ΔE to the lowest computed polymorph (meV per atom) = 206.0
- magnetic moment (μB/cell) = 0.00
- ρ (g/cm3) = 5.69
- ΔE_f (meV per atom) = -22

a b c (Å): 2.9775 2.9775 6.8637
angles (deg): 90.00 90.00 90.00
Closest atoms and distances in Å follow each position.
Positions (direct):
Sr  0.0000  0.0000  0.0000  4 Sr 2.98, 8 Be 3.15
Be  0.5000  0.5000  0.3407  1 Be 2.19, 4 Rh 2.37
Be  0.5000  0.5000  0.6593  1 Be 2.19, 4 Rh 2.37
Rh  0.0000  0.0000  0.5000  8 Be 2.37